Nd12In6Hg GGA-PBE optimized geometry; DFT total energy = -4.045 eV per atom; ρ = 7164 kg/m3; crystal system = trigonal
1.0
8.9299 -0.6925 -0.8296
-2.0383 8.7217 -0.8296
-2.0383 -2.3748 8.4331
Nd In Hg
12 6 1
direct
0.9392 0.6832 0.5908 Nd
0.5908 0.9392 0.6832 Nd
0.6832 0.5908 0.9392 Nd
0.0608 0.3168 0.4092 Nd
0.4092 0.0608 0.3168 Nd
0.3168 0.4092 0.0608 Nd
0.0408 0.8952 0.3427 Nd
0.1048 0.6573 0.9592 Nd
0.6573 0.9592 0.1048 Nd
0.9592 0.1048 0.6573 Nd
0.8952 0.3427 0.0408 Nd
0.3427 0.0408 0.8952 Nd
0.6418 0.7533 0.3404 In
0.6596 0.3582 0.2467 In
0.2467 0.6596 0.3582 In
0.3582 0.2467 0.6596 In
0.3404 0.6418 0.7533 In
0.7533 0.3404 0.6418 In
0.0000 0.0000 0.0000 Hg